Record 1
Here is an optimized crystal structure of Cs2CeZnS4 from Alexandria. Energies are from GGA-PBE.

Lattice parameters (Å, degrees): 7.6049 7.6049 9.6532 90.00 90.00 90.00
Space group I-4 (No. 82)
Symmetry-distinct sites (fractional):
1 Cs 0.0000 0.0000 0.0000 x2
2 Cs 0.0000 0.5000 0.2500 x2
3 Ce 0.0000 0.0000 0.5000 x2
4 Zn 0.0000 0.5000 0.7500 x2
5 S 0.1372 0.7354 0.6305 x8

Properties
Formation energy from raw total energies   -1.226 eV per atom
Electronic total energy   -70.47 eV/cell

Record 2
Here is an optimized crystal structure of RbGaGe from Alexandria. Energies are from GGA-PBE.

Lattice parameters (Å, degrees): 6.8703 3.8610 15.1937 90.00 90.00 90.00
Space group Pnma (No. 62)
Symmetry-distinct sites (fractional):
1 Rb 0.0664 0.2500 0.1487 x4
2 Ga 0.0686 0.7500 0.3623 x4
3 Ge 0.1343 0.2500 0.4970 x4

Properties
Energy of formation   -0.0269 eV/atom
Electronic total energy   -34.77 eV/cell

Record 3
Here is an optimized crystal structure of Ir2Se from Alexandria. Energies are from GGA-PBE.

Lattice parameters (Å, degrees): 11.3644 2.8063 6.8223 90.00 112.72 90.00
Space group Cm (No. 8)
Symmetry-distinct sites (fractional):
1 Ir 0.0000 0.0000 0.0000 x2
2 Ir 0.0304 0.0000 0.4316 x2
3 Ir 0.1515 0.5000 0.8131 x2
4 Ir 0.3331 0.0000 0.1072 x2
5 Se 0.1740 0.5000 0.2929 x2
6 Se 0.4188 0.0000 0.6478 x2

Properties
Formation energy from raw total energies   0.403 eV per atom
Polymorph energy (0 for the lowest one)   394 meV/atom
Electronic total energy   -80.00 eV/cell

Record 4
Here is an optimized crystal structure of KHf3Co from Alexandria. Energies are from GGA-PBE.

Lattice parameters (Å, degrees): 4.7804 4.7804 4.7804 90.00 90.00 90.00
Space group Pm-3m (No. 221)
Symmetry-distinct sites (fractional):
1 K 0.0000 0.0000 0.0000 x1
2 Hf 0.0000 0.0000 0.5000 x3
3 Co 0.5000 0.5000 0.5000 x1

Properties
Energy of formation   2.4568 eV/atom
Polymorph energy (0 for the lowest one)   1876 meV/atom
Electronic total energy   -25.78 eV/cell

Record 5
Here is an optimized crystal structure of KScSb2 from Alexandria. Energies are from GGA-PBE.

Lattice parameters (Å, degrees): 7.6289 7.6289 7.6289 90.00 90.00 90.00
Space group Fm-3m (No. 225)
Symmetry-distinct sites (fractional):
1 K 0.0000 0.0000 0.0000 x4
2 Sc 0.0000 0.0000 0.5000 x4
3 Sb 0.2500 0.2500 0.2500 x8

Properties
Formation energy from raw total energies   -0.267 eV per atom
Polymorph energy (0 for the lowest one)   309 meV/atom
Electronic total energy   -66.96 eV/cell

Record 6
Here is an optimized crystal structure of LaFeTe2 from Alexandria. Energies are from GGA-PBE.

Lattice parameters (Å, degrees): 4.1274 4.7932 10.9917 90.00 90.00 90.00
Space group Imm2 (No. 44)
Symmetry-distinct sites (fractional):
1 La 0.0000 0.0000 0.0000 x2
2 Fe 0.0000 0.5000 0.1941 x2
3 Te 0.0000 0.0000 0.5287 x2
4 Te 0.0000 0.5000 0.7565 x2

Properties
Formation energy from raw total energies   -0.453 eV per atom
Electronic total energy   -42.97 eV/cell

Record 7
Here is an optimized crystal structure of Ho7Ir2Pt2 from Alexandria. Energies are from GGA-PBE.

Lattice parameters (Å, degrees): 8.4969 10.2323 6.8522 90.00 90.00 90.00
Space group Cmmm (No. 65)
Symmetry-distinct sites (fractional):
1 Ho 0.0000 0.0000 0.0000 x2
2 Ho 0.0000 0.5000 0.2529 x4
3 Ho 0.2500 0.2500 0.2570 x8
4 Ir 0.0000 0.2772 0.0000 x4
5 Pt 0.2339 0.0000 0.5000 x4

Properties
Energy of formation   -0.7154 eV/atom
Electronic total energy   -139.44 eV/cell

Record 8
Here is an optimized crystal structure of La2PrZr from Alexandria. Energies are from GGA-PBE.

Lattice parameters (Å, degrees): 4.1354 4.1354 7.5571 90.00 90.00 90.00
Space group P4/mmm (No. 123)
Symmetry-distinct sites (fractional):
1 La 0.0000 0.0000 0.2191 x2
2 Pr 0.5000 0.5000 0.5000 x1
3 Zr 0.5000 0.5000 0.0000 x1

Properties
Energy of formation   0.1685 eV/atom
Polymorph energy (0 for the lowest one)   32 meV/atom
Electronic total energy   -22.51 eV/cell

Record 9
Here is an optimized crystal structure of SmY7Ho5 from Alexandria. Energies are from GGA-PBE.

Lattice parameters (Å, degrees): 6.6806 11.1490 11.5888 90.00 90.00 90.00
Space group Imm2 (No. 44)
Symmetry-distinct sites (fractional):
1 Sm 0.0000 0.0000 0.0000 x2
2 Y 0.0000 0.0000 0.3862 x2
3 Y 0.0000 0.0000 0.6965 x2
4 Y 0.0000 0.3265 0.9422 x4
5 Y 0.0000 0.3312 0.4416 x4
6 Y 0.0000 0.5000 0.6948 x2
7 Ho 0.0000 0.5000 0.1876 x2
8 Ho 0.2329 0.2287 0.1937 x8

Properties
Energy of formation   0.2421 eV/atom
Electronic total energy   -139.42 eV/cell